Nd3SbRh3 | PBE | relaxed

Output
Magnetic moment ... 0.00 μB/f.u.
Total energy ... -45.90 eV/f.u.
Space-group type ... Cmcm (63)
DOS(E_F) ... 0.750 states/eV per atom

Geometry as POSCAR:
```
Nd3SbRh3
1.0
2.2332 -5.2828 0.0000
2.2332 5.2828 0.0000
0.0000 0.0000 13.6298
Nd Sb Rh
6 2 6
Direct
0.0114 0.9886 0.7500 Nd
0.2925 0.7075 0.6048 Nd
0.2925 0.7075 0.8952 Nd
0.7075 0.2925 0.1048 Nd
0.7075 0.2925 0.3952 Nd
0.9886 0.0114 0.2500 Nd
0.0000 0.0000 0.0000 Sb
0.0000 0.0000 0.5000 Sb
0.2608 0.7392 0.2500 Rh
0.4163 0.5837 0.0940 Rh
0.4163 0.5837 0.4060 Rh
0.5837 0.4163 0.5940 Rh
0.5837 0.4163 0.9060 Rh
0.7392 0.2608 0.7500 Rh
```

Nd2Sb4Rh3 | PBE | relaxed

Output
Magnetic moment ... 0.00 μB/f.u.
Total energy ... -54.26 eV/f.u.
Space-group type ... Fmmm (69)
DOS(E_F) ... 0.656 states/eV per atom

Geometry as POSCAR:
```
Nd2Sb4Rh3
1.0
0.0000 5.2635 6.6143
2.9018 0.0000 6.6143
2.9018 5.2635 0.0000
Nd Sb Rh
2 4 3
Direct
0.1329 0.1329 0.8671 Nd
0.8671 0.8671 0.1329 Nd
0.1859 0.5035 0.4965 Sb
0.4965 0.8141 0.1859 Sb
0.5035 0.1859 0.8141 Sb
0.8141 0.4965 0.5035 Sb
0.0000 0.0000 0.5000 Rh
0.5000 0.5000 0.0000 Rh
0.5000 0.5000 0.5000 Rh
```

Nd8Sb14Rh17 | PBE | relaxed

Output
Magnetic moment ... 0.00 μB/f.u.
Total energy ... -252.59 eV/f.u.
Space-group type ... I4cm (108)
DOS(E_F) ... 0.689 states/eV per atom

Geometry as POSCAR:
```
Nd8Sb14Rh17
1.0
-6.2084 6.2084 10.6453
6.2084 -6.2084 10.6453
6.2084 6.2084 -10.6453
Nd Sb Rh
16 28 34
Direct
0.0000 0.0000 0.0000 Nd
0.0053 0.2440 0.7454 Nd
0.2323 0.2728 0.5000 Nd
0.2440 0.4986 0.2387 Nd
0.2599 0.0053 0.7613 Nd
0.2728 0.7728 0.0405 Nd
0.4986 0.2599 0.2546 Nd
0.4989 0.9989 0.5000 Nd
0.5000 0.5000 0.0000 Nd
0.5053 0.7599 0.7613 Nd
0.7323 0.2323 0.9595 Nd
0.7440 0.5053 0.7454 Nd
0.7599 0.9986 0.2546 Nd
0.7728 0.7323 0.5000 Nd
0.9989 0.4989 0.5000 Nd
0.9986 0.7440 0.2387 Nd
0.0422 0.7753 0.0523 Sb
0.0454 0.3099 0.2359 Sb
0.0741 0.8095 0.7641 Sb
0.2010 0.2010 0.0000 Sb
0.2030 0.7030 0.5000 Sb
0.2230 0.2753 0.7331 Sb
0.2685 0.9402 0.5000 Sb
0.2753 0.5422 0.0523 Sb
0.3099 0.0741 0.2646 Sb
0.3095 0.5741 0.7641 Sb
0.4386 0.4557 0.5000 Sb
0.4402 0.7685 0.5000 Sb
0.4557 0.9557 0.0171 Sb
0.4899 0.2230 0.9477 Sb
0.5422 0.4899 0.2669 Sb
0.5454 0.3095 0.7354 Sb
0.5741 0.8099 0.2646 Sb
0.7010 0.7010 0.0000 Sb
0.7030 0.2030 0.5000 Sb
0.7230 0.9899 0.9477 Sb
0.7685 0.2685 0.3283 Sb
0.7753 0.7230 0.7331 Sb
0.8095 0.0454 0.7354 Sb
0.8099 0.5454 0.2359 Sb
0.9386 0.4386 0.9829 Sb
0.9402 0.4402 0.6717 Sb
0.9557 0.9386 0.5000 Sb
0.9899 0.0422 0.2669 Sb
0.0048 0.7429 0.5000 Rh
0.0079 0.5079 0.2444 Rh
0.0104 0.9972 0.7517 Rh
0.0441 0.5441 0.9536 Rh
0.0905 0.0441 0.5000 Rh
0.1764 0.4926 0.7877 Rh
0.2048 0.9926 0.3162 Rh
0.2429 0.5048 0.5000 Rh
0.2455 0.2586 0.2483 Rh
0.2490 0.7490 0.2544 Rh
0.2586 0.0104 0.0132 Rh
0.2634 0.7634 0.7556 Rh
0.3273 0.3273 0.0000 Rh
0.3886 0.1764 0.6838 Rh
0.4926 0.7048 0.3162 Rh
0.4946 0.9946 0.7456 Rh
0.4972 0.5104 0.7517 Rh
0.5048 0.0048 0.2619 Rh
0.5079 0.2634 0.5000 Rh
0.5104 0.7586 0.0132 Rh
0.5441 0.5905 0.5000 Rh
0.5905 0.0905 0.0464 Rh
0.6764 0.8886 0.6838 Rh
0.7048 0.3886 0.2123 Rh
0.7429 0.2429 0.7381 Rh
0.7455 0.4972 0.9868 Rh
0.7490 0.4946 0.5000 Rh
0.7586 0.7455 0.2483 Rh
0.7634 0.0079 0.5000 Rh
0.8273 0.8273 0.0000 Rh
0.8886 0.2048 0.2123 Rh
0.9926 0.6764 0.7877 Rh
0.9946 0.2490 0.5000 Rh
0.9972 0.2455 0.9868 Rh
```

NdSbRh2 | PBE | relaxed

Output
Magnetic moment ... 0.00 μB/f.u.
Total energy ... -26.40 eV/f.u.
Space-group type ... R-3m (166)
DOS(E_F) ... 0.638 states/eV per atom

Geometry as POSCAR:
```
NdSbRh2
1.0
2.2607 1.3052 4.7447
-2.2607 1.3052 4.7447
0.0000 -2.6104 4.7447
Nd Sb Rh
1 1 2
Direct
0.0000 0.0000 0.0000 Nd
0.5000 0.5000 0.5000 Sb
0.2115 0.2115 0.2115 Rh
0.7885 0.7885 0.7885 Rh
```

NdSbRh2 | PBE | relaxed

Output
Magnetic moment ... 0.00 μB/f.u.
Total energy ... -26.64 eV/f.u.
Space-group type ... Pnma (62)
DOS(E_F) ... 0.644 states/eV per atom

Geometry as POSCAR:
```
NdSbRh2
1.0
7.7146 0.0000 0.0000
0.0000 7.0875 0.0000
0.0000 0.0000 6.0600
Nd Sb Rh
4 4 8
Direct
0.0298 0.2500 0.1616 Nd
0.4702 0.7500 0.6616 Nd
0.5298 0.2500 0.3384 Nd
0.9702 0.7500 0.8384 Nd
0.1175 0.7500 0.3364 Sb
0.3825 0.2500 0.8364 Sb
0.6175 0.7500 0.1636 Sb
0.8825 0.2500 0.6636 Sb
0.1752 0.0491 0.5830 Rh
0.1752 0.4509 0.5830 Rh
0.3248 0.5491 0.0830 Rh
0.3248 0.9509 0.0830 Rh
0.6752 0.0491 0.9170 Rh
0.6752 0.4509 0.9170 Rh
0.8248 0.5491 0.4170 Rh
0.8248 0.9509 0.4170 Rh
```

Nd2ScSb3Rh4 | PBE | relaxed

Output
Magnetic moment ... 0.00 μB/f.u.
Total energy ... -66.50 eV/f.u.
Space-group type ... P-4m2 (115)
DOS(E_F) ... 0.742 states/eV per atom

Geometry as POSCAR:
```
Nd2ScSb3Rh4
1.0
4.3458 0.0000 0.0000
0.0000 4.3458 0.0000
0.0000 0.0000 11.3270
Nd Sc Sb Rh
2 1 3 4
Direct
0.0000 0.5000 0.2376 Nd
0.5000 0.0000 0.7624 Nd
0.0000 0.0000 0.5000 Sc
0.0000 0.5000 0.8663 Sb
0.5000 0.0000 0.1337 Sb
0.5000 0.5000 0.5000 Sb
0.0000 0.0000 0.0000 Rh
0.0000 0.5000 0.6388 Rh
0.5000 0.0000 0.3612 Rh
0.5000 0.5000 0.0000 Rh
```

Nd3Si2SbRh9 | PBE | relaxed

Output
Magnetic moment ... 0.00 μB/f.u.
Total energy ... -103.78 eV/f.u.
Space-group type ... P-3m1 (164)
DOS(E_F) ... 0.545 states/eV per atom

Geometry as POSCAR:
```
Nd3Si2SbRh9
1.0
6.2000 0.0000 0.0000
-3.1000 5.3694 0.0000
0.0000 0.0000 9.1614
Nd Si Sb Rh
3 2 1 9
Direct
0.0000 0.0000 0.0000 Nd
0.3333 0.6667 0.7181 Nd
0.6667 0.3333 0.2819 Nd
0.3333 0.6667 0.1620 Si
0.6667 0.3333 0.8380 Si
0.0000 0.0000 0.5000 Sb
0.0000 0.5000 0.0000 Rh
0.1479 0.2958 0.2732 Rh
0.1479 0.8521 0.2732 Rh
0.2958 0.1479 0.7268 Rh
0.5000 0.0000 0.0000 Rh
0.5000 0.5000 0.0000 Rh
0.7042 0.8521 0.2732 Rh
0.8521 0.1479 0.7268 Rh
0.8521 0.7042 0.7268 Rh
```

Nd2SmSb3Rh4 | PBE | relaxed

Output
Magnetic moment ... 0.00 μB/f.u.
Total energy ... -64.35 eV/f.u.
Space-group type ... P-4m2 (115)
DOS(E_F) ... 0.816 states/eV per atom

Geometry as POSCAR:
```
Nd2SmSb3Rh4
1.0
4.4263 0.0000 0.0000
0.0000 4.4263 0.0000
0.0000 0.0000 11.4809
Nd Sm Sb Rh
2 1 3 4
Direct
0.0000 0.5000 0.2228 Nd
0.5000 0.0000 0.7772 Nd
0.0000 0.0000 0.5000 Sm
0.0000 0.5000 0.8709 Sb
0.5000 0.0000 0.1291 Sb
0.5000 0.5000 0.5000 Sb
0.0000 0.0000 0.0000 Rh
0.0000 0.5000 0.6477 Rh
0.5000 0.0000 0.3523 Rh
0.5000 0.5000 0.0000 Rh
```

Nd2SnSb3Rh4 | PBE | relaxed

Output
Magnetic moment ... 0.00 μB/f.u.
Total energy ... -63.29 eV/f.u.
Space-group type ... P-4m2 (115)
DOS(E_F) ... 0.775 states/eV per atom

Geometry as POSCAR:
```
Nd2SnSb3Rh4
1.0
4.4973 0.0000 0.0000
0.0000 4.4973 0.0000
0.0000 0.0000 10.6851
Nd Sn Sb Rh
2 1 3 4
Direct
0.0000 0.5000 0.2472 Nd
0.5000 0.0000 0.7528 Nd
0.0000 0.0000 0.5000 Sn
0.0000 0.5000 0.8684 Sb
0.5000 0.0000 0.1316 Sb
0.5000 0.5000 0.5000 Sb
0.0000 0.0000 0.0000 Rh
0.0000 0.5000 0.6289 Rh
0.5000 0.0000 0.3711 Rh
0.5000 0.5000 0.0000 Rh
```

NdThSb2Rh5 | PBE | relaxed

Output
Magnetic moment ... 0.00 μB/f.u.
Total energy ... -62.11 eV/f.u.
Space-group type ... P4/mmm (123)
DOS(E_F) ... 0.695 states/eV per atom

Geometry as POSCAR:
```
NdThSb2Rh5
1.0
4.5123 0.0000 0.0000
0.0000 4.5123 0.0000
0.0000 0.0000 8.9075
Nd Th Sb Rh
1 1 2 5
Direct
0.0000 0.0000 0.0000 Nd
0.0000 0.0000 0.5000 Th
0.5000 0.5000 0.3418 Sb
0.5000 0.5000 0.6582 Sb
0.0000 0.5000 0.2174 Rh
0.0000 0.5000 0.7826 Rh
0.5000 0.0000 0.2174 Rh
0.5000 0.0000 0.7826 Rh
0.5000 0.5000 0.0000 Rh
```

Nd2TiSb3Rh4 | PBE | relaxed

Output
Magnetic moment ... 0.00 μB/f.u.
Total energy ... -67.58 eV/f.u.
Space-group type ... P-4m2 (115)
DOS(E_F) ... 0.767 states/eV per atom

Geometry as POSCAR:
```
Nd2TiSb3Rh4
1.0
4.3443 0.0000 0.0000
0.0000 4.3443 0.0000
0.0000 0.0000 11.0728
Nd Ti Sb Rh
2 1 3 4
Direct
0.0000 0.5000 0.2470 Nd
0.5000 0.0000 0.7530 Nd
0.0000 0.0000 0.5000 Ti
0.0000 0.5000 0.8631 Sb
0.5000 0.0000 0.1369 Sb
0.5000 0.5000 0.5000 Sb
0.0000 0.0000 0.0000 Rh
0.0000 0.5000 0.6302 Rh
0.5000 0.0000 0.3698 Rh
0.5000 0.5000 0.0000 Rh
```

Nd2TmSb3Rh4 | PBE | relaxed

Output
Magnetic moment ... 0.00 μB/f.u.
Total energy ... -64.50 eV/f.u.
Space-group type ... P-4m2 (115)
DOS(E_F) ... 0.764 states/eV per atom

Geometry as POSCAR:
```
Nd2TmSb3Rh4
1.0
4.3943 0.0000 0.0000
0.0000 4.3943 0.0000
0.0000 0.0000 11.3884
Nd Tm Sb Rh
2 1 3 4
Direct
0.0000 0.5000 0.2286 Nd
0.5000 0.0000 0.7714 Nd
0.0000 0.0000 0.5000 Tm
0.0000 0.5000 0.8689 Sb
0.5000 0.0000 0.1311 Sb
0.5000 0.5000 0.5000 Sb
0.0000 0.0000 0.0000 Rh
0.0000 0.5000 0.6433 Rh
0.5000 0.0000 0.3567 Rh
0.5000 0.5000 0.0000 Rh
```

Nd2USb3Rh4 | PBE | relaxed

Output
Magnetic moment ... 2.74 μB/f.u.
Total energy ... -70.01 eV/f.u.
Space-group type ... P-4m2 (115)
DOS(E_F) ... 1.375 states/eV per atom

Geometry as POSCAR:
```
Nd2USb3Rh4
1.0
4.4513 0.0000 0.0000
0.0000 4.4513 0.0000
0.0000 0.0000 11.2521
Nd U Sb Rh
2 1 3 4
Direct
0.0000 0.5000 0.2233 Nd
0.5000 0.0000 0.7767 Nd
0.0000 0.0000 0.5000 U
0.0000 0.5000 0.8693 Sb
0.5000 0.0000 0.1307 Sb
0.5000 0.5000 0.5000 Sb
0.0000 0.0000 0.0000 Rh
0.0000 0.5000 0.6387 Rh
0.5000 0.0000 0.3613 Rh
0.5000 0.5000 0.0000 Rh
```

NdYSb2Rh5 | PBE | relaxed

Output
Magnetic moment ... 0.00 μB/f.u.
Total energy ... -60.96 eV/f.u.
Space-group type ... P4/mmm (123)
DOS(E_F) ... 0.630 states/eV per atom

Geometry as POSCAR:
```
NdYSb2Rh5
1.0
4.4711 0.0000 0.0000
0.0000 4.4711 0.0000
0.0000 0.0000 8.9996
Nd Y Sb Rh
1 1 2 5
Direct
0.0000 0.0000 0.0000 Nd
0.0000 0.0000 0.5000 Y
0.5000 0.5000 0.3431 Sb
0.5000 0.5000 0.6569 Sb
0.0000 0.5000 0.2171 Rh
0.0000 0.5000 0.7829 Rh
0.5000 0.0000 0.2171 Rh
0.5000 0.0000 0.7829 Rh
0.5000 0.5000 0.0000 Rh
```

Nd2YSb3Rh4 | PBE | relaxed

Output
Magnetic moment ... 0.00 μB/f.u.
Total energy ... -66.31 eV/f.u.
Space-group type ... P-4m2 (115)
DOS(E_F) ... 0.770 states/eV per atom

Geometry as POSCAR:
```
Nd2YSb3Rh4
1.0
4.3978 0.0000 0.0000
0.0000 4.3978 0.0000
0.0000 0.0000 11.4804
Nd Y Sb Rh
2 1 3 4
Direct
0.0000 0.5000 0.2262 Nd
0.5000 0.0000 0.7738 Nd
0.0000 0.0000 0.5000 Y
0.0000 0.5000 0.8698 Sb
0.5000 0.0000 0.1302 Sb
0.5000 0.5000 0.5000 Sb
0.0000 0.0000 0.0000 Rh
0.0000 0.5000 0.6463 Rh
0.5000 0.0000 0.3537 Rh
0.5000 0.5000 0.0000 Rh
```

Nd2ZnSb3Rh4 | PBE | relaxed

Output
Magnetic moment ... 0.00 μB/f.u.
Total energy ... -60.46 eV/f.u.
Space-group type ... P-4m2 (115)
DOS(E_F) ... 0.575 states/eV per atom

Geometry as POSCAR:
```
Nd2ZnSb3Rh4
1.0
4.4043 0.0000 0.0000
0.0000 4.4043 0.0000
0.0000 0.0000 10.7203
Nd Zn Sb Rh
2 1 3 4
Direct
0.0000 0.5000 0.2437 Nd
0.5000 0.0000 0.7563 Nd
0.5000 0.5000 0.0000 Zn
0.0000 0.0000 0.0000 Sb
0.0000 0.5000 0.6362 Sb
0.5000 0.0000 0.3638 Sb
0.0000 0.0000 0.5000 Rh
0.0000 0.5000 0.8736 Rh
0.5000 0.0000 0.1264 Rh
0.5000 0.5000 0.5000 Rh
```

NdSc3Rh4 | PBE | relaxed

Output
Magnetic moment ... 0.00 μB/f.u.
Total energy ... -60.18 eV/f.u.
Space-group type ... R-3m (166)
DOS(E_F) ... 0.501 states/eV per atom
DFT formation energy ... -877 meV per atom

Geometry as POSCAR:
```
NdSc3Rh4
1.0
2.3298 1.3451 7.7771
-2.3298 1.3451 7.7771
0.0000 -2.6902 7.7771
Nd Sc Rh
1 3 4
Direct
0.0000 0.0000 0.0000 Nd
0.2449 0.2449 0.2449 Sc
0.5000 0.5000 0.5000 Sc
0.7551 0.7551 0.7551 Sc
0.1285 0.1285 0.1285 Rh
0.3820 0.3820 0.3820 Rh
0.6180 0.6180 0.6180 Rh
0.8715 0.8715 0.8715 Rh
```

Nd2ScRh | PBE | relaxed

Output
Offset from the most stable computed form ... 0 meV/atom
Magnetic moment ... 0.00 μB/f.u.
Total energy ... -24.16 eV/f.u.
Space-group type ... P4/mmm (123)
DOS(E_F) ... 1.644 states/eV per atom
DFT formation energy ... -236 meV per atom

Geometry as POSCAR:
```
Nd2ScRh
1.0
3.6759 0.0000 0.0000
0.0000 3.6759 0.0000
0.0000 0.0000 7.7000
Nd Sc Rh
2 1 1
Direct
0.0000 0.0000 0.2134 Nd
0.0000 0.0000 0.7866 Nd
0.5000 0.5000 0.5000 Sc
0.5000 0.5000 0.0000 Rh
```

NdSc3Rh | PBE | relaxed

Output
Magnetic moment ... 0.00 μB/f.u.
Total energy ... -32.56 eV/f.u.
Space-group type ... Pm-3m (221)
DOS(E_F) ... 1.179 states/eV per atom
DFT formation energy ... -289 meV per atom

Geometry as POSCAR:
```
NdSc3Rh
1.0
5.0930 0.0000 0.0000
0.0000 5.0930 0.0000
0.0000 0.0000 5.0930
Nd Sc Rh
1 3 1
Direct
0.0000 0.0000 0.0000 Nd
0.0000 0.5000 0.5000 Sc
0.5000 0.0000 0.5000 Sc
0.5000 0.5000 0.0000 Sc
0.5000 0.5000 0.5000 Rh
```

NdScRh4 | PBE | relaxed

Output
Magnetic moment ... 0.00 μB/f.u.
Total energy ... -44.38 eV/f.u.
Space-group type ... F-43m (216)
DOS(E_F) ... 0.674 states/eV per atom
DFT formation energy ... -646 meV per atom

Geometry as POSCAR:
```
NdScRh4
1.0
0.0000 3.7601 3.7601
3.7601 0.0000 3.7601
3.7601 3.7601 0.0000
Nd Sc Rh
1 1 4
Direct
0.0000 0.0000 0.0000 Nd
0.7500 0.7500 0.7500 Sc
0.3755 0.3755 0.3755 Rh
0.3755 0.3755 0.8736 Rh
0.3755 0.8736 0.3755 Rh
0.8736 0.3755 0.3755 Rh
```